(1)
Here is a relaxed Mg5Ga2Ag crystal from Alexandria. Energies are from PBE.

Polymorph energy (0 for the lowest one), meV/atom: 52
Calculated total energy, eV per atom: -2.19

Cell: 4.508 10.047 14.463 Å, 90.00 90.00 90.00°
Space group Cmcm (No. 63)
Unique sites:
Mg 0.000 0.002 0.250 x4
Mg 0.000 0.145 0.542 x8
Mg 0.000 0.449 0.599 x8
Ga 0.000 0.261 0.144 x8
Ag 0.000 0.281 0.750 x4

(2)
Here is a relaxed Mg5GaAg6 crystal from Alexandria. Energies are from PBE.

Calculated total energy, eV per atom: -2.55

Cell: 8.264 13.774 4.624 Å, 90.00 123.92 90.00°
Space group C2/m (No. 12)
Unique sites:
Mg 0.000 0.000 0.000 x2
Mg 0.000 0.164 0.500 x4
Mg 0.000 0.329 0.000 x4
Ga 0.000 0.500 0.500 x2
Ag 0.239 0.500 0.240 x4
Ag 0.244 0.336 0.745 x8